(1)
Computed, not measured: an optimized crystal structure of PtIN2F at the GGA-PBE level of DFT.

## Properties
calculated volume	20.145	Å³ per atom
formation energy from raw total energies	2138	meV/atom

Cell lengths 3.8727, 3.8727, 6.7161 Å; angles 90.00, 90.00, 90.00 degrees
Last column: magnetic moment on the atom in μB.
Element x y z (fractional)
1 I 0.0000 0.0000 0.5000  0.04
2 N 0.0000 0.5000 0.0000  1.43
3 N 0.5000 0.0000 0.0000  1.43
4 Pt 0.5000 0.5000 0.5000  0.12
5 F 0.0000 0.0000 0.0000  -0.02

(2)
Computed, not measured: an optimized crystal structure of PtIN2F at the GGA-PBE level of DFT.

## Properties
calculated volume	14.354	Å³ per atom
formation energy from raw total energies	1070	meV/atom

Cell lengths 3.9926, 3.9926, 4.5022 Å; angles 90.00, 90.00, 90.00 degrees
Last column: magnetic moment on the atom in μB.
Element x y z (fractional)
1 I 0.5000 0.5000 0.5000  -0.03
2 N 0.0000 0.5000 0.0000  0.16
3 N 0.5000 0.0000 0.0000  0.16
4 Pt 0.0000 0.0000 0.0000  0.05
5 F 0.0000 0.0000 0.5000  -0.01

(3)
Computed, not measured: an optimized crystal structure of PtIN2F at the GGA-PBE level of DFT.

## Properties
calculated volume	14.719	Å³ per atom
formation energy from raw total energies	1836	meV/atom

Cell lengths 4.1783, 4.1783, 4.2156 Å; angles 90.00, 90.00, 90.00 degrees
Element x y z (fractional)
1 I 0.0000 0.0000 0.0000
2 N 0.0000 0.5000 0.0000
3 N 0.5000 0.0000 0.0000
4 Pt 0.5000 0.5000 0.5000
5 F 0.0000 0.0000 0.5000

(4)
Computed, not measured: an optimized crystal structure of RbI2NF at the GGA-PBE level of DFT.

## Properties
calculated volume	58.635	Å³ per atom
formation energy from raw total energies	827	meV/atom

Cell lengths 7.0095, 7.0095, 5.9669 Å; angles 90.00, 90.00, 90.00 degrees
Last column: magnetic moment on the atom in μB.
Element x y z (fractional)
1 I 0.0000 0.5000 0.0000  -0.41
2 I 0.5000 0.0000 0.0000  -0.41
3 N 0.0000 0.0000 0.5000  1.93
4 Rb 0.0000 0.0000 0.0000  0.02
5 F 0.5000 0.5000 0.5000  -0.51

In the order shown, the computed ΔE to the lowest computed polymorph values come out to 1235 167 933 512 meV per atom.